Record 1
Here is crystalline Tb2Th2Sc15 at its relaxed geometry from Alexandria. Energies are from GGA-PBE.

- Total DFT energy (no corrections): -114.1 eV/cell
- Fermi-level density of states: 40.479 states/eV/cell

Unit cell a=8.1086 b=8.1086 c=8.1086 alpha=82.41 beta=82.41 gamma=82.41
Atoms (fractional coordinates):
Tb  0.1105  0.1105  0.1105
Tb  0.8895  0.8895  0.8895
Th  0.3531  0.3531  0.3531
Th  0.6469  0.6469  0.6469
Sc  0.0000  0.0000  0.5000
Sc  0.0000  0.3359  0.6641
Sc  0.0000  0.5000  0.0000
Sc  0.0000  0.6641  0.3359
Sc  0.1868  0.6585  0.6585
Sc  0.3359  0.0000  0.6641
Sc  0.3359  0.6641  0.0000
Sc  0.3415  0.3415  0.8132
Sc  0.3415  0.8132  0.3415
Sc  0.5000  0.0000  0.0000
Sc  0.6585  0.1868  0.6585
Sc  0.6585  0.6585  0.1868
Sc  0.6641  0.0000  0.3359
Sc  0.6641  0.3359  0.0000
Sc  0.8132  0.3415  0.3415


Record 2
Here is crystalline TbTh2Sc4 at its relaxed geometry from Alexandria. Energies are from GGA-PBE.

- Total DFT energy (no corrections): -44.1 eV/cell
- Fermi-level density of states: 13.160 states/eV/cell

Unit cell a=11.2249 b=11.2249 c=3.3631 alpha=90.00 beta=90.00 gamma=152.17
Atoms (fractional coordinates):
Tb  0.0000  0.0000  0.0000
Th  0.4269  0.5731  0.5000
Th  0.5731  0.4269  0.5000
Sc  0.1592  0.8408  0.5000
Sc  0.2892  0.7108  0.0000
Sc  0.7108  0.2892  0.0000
Sc  0.8408  0.1592  0.5000


Record 3
Here is crystalline Tb5Th2Sc12 at its relaxed geometry from Alexandria. Energies are from GGA-PBE.

- Total DFT energy (no corrections): -111.0 eV/cell
- Fermi-level density of states: 31.388 states/eV/cell

Unit cell a=8.6725 b=8.6725 c=8.0817 alpha=91.92 beta=91.92 gamma=60.82
Atoms (fractional coordinates):
Tb  0.0000  0.0000  0.0000
Tb  0.2370  0.2370  0.0779
Tb  0.3002  0.3002  0.4945
Tb  0.6998  0.6998  0.5055
Tb  0.7630  0.7630  0.9221
Th  0.3108  0.6892  0.5000
Th  0.6892  0.3108  0.5000
Sc  0.0246  0.6690  0.2491
Sc  0.0891  0.0891  0.3870
Sc  0.1840  0.5651  0.8463
Sc  0.3310  0.9754  0.7509
Sc  0.4349  0.8160  0.1537
Sc  0.4463  0.4463  0.1713
Sc  0.5537  0.5537  0.8287
Sc  0.5651  0.1840  0.8463
Sc  0.6690  0.0246  0.2491
Sc  0.8160  0.4349  0.1537
Sc  0.9109  0.9109  0.6130
Sc  0.9754  0.3310  0.7509


Record 4
Here is crystalline TbThSc at its relaxed geometry from Alexandria. Energies are from GGA-PBE.

- Total DFT energy (no corrections): -36.5 eV/cell
- Fermi-level density of states: 9.729 states/eV/cell

Unit cell a=7.5975 b=7.5975 c=7.0031 alpha=103.57 beta=103.57 gamma=26.90
Atoms (fractional coordinates):
Tb  0.1614  0.1614  0.0820
Tb  0.8386  0.8386  0.9180
Th  0.1645  0.1645  0.5814
Th  0.8355  0.8355  0.4186
Sc  0.4988  0.4988  0.7381
Sc  0.5012  0.5012  0.2619


Record 5
Here is crystalline TbThSc at its relaxed geometry from Alexandria. Energies are from GGA-PBE.

- Total DFT energy (no corrections): -72.3 eV/cell
- Fermi-level density of states: 21.154 states/eV/cell

Unit cell a=5.5371 b=9.5875 c=6.7147 alpha=90.00 beta=90.00 gamma=90.00
Atoms (fractional coordinates):
Tb  0.0077  0.1667  0.0000
Tb  0.4923  0.6667  0.0000
Tb  0.5077  0.3333  0.0000
Tb  0.9923  0.8333  0.0000
Th  0.0012  0.8334  0.5000
Th  0.4988  0.3334  0.5000
Th  0.5012  0.6666  0.5000
Th  0.9988  0.1666  0.5000
Sc  0.0000  0.5000  0.2565
Sc  0.0000  0.5000  0.7435
Sc  0.5000  0.0000  0.2565
Sc  0.5000  0.0000  0.7435


Record 6
Here is crystalline Tb2Th3Sc7 at its relaxed geometry from Alexandria. Energies are from GGA-PBE.

- Total DFT energy (no corrections): -74.5 eV/cell
- Fermi-level density of states: 20.119 states/eV/cell

Unit cell a=6.0319 b=3.3515 c=16.5921 alpha=90.00 beta=96.57 gamma=90.00
Atoms (fractional coordinates):
Tb  0.0411  0.0000  0.1759
Tb  0.9589  0.0000  0.8241
Th  0.4614  0.5000  0.8385
Th  0.5000  0.0000  0.5000
Th  0.5386  0.5000  0.1615
Sc  0.0000  0.5000  0.5000
Sc  0.2338  0.0000  0.6631
Sc  0.2572  0.0000  0.0042
Sc  0.2765  0.5000  0.3378
Sc  0.7235  0.5000  0.6622
Sc  0.7428  0.0000  0.9958
Sc  0.7662  0.0000  0.3369


Record 7
Here is crystalline TbThSc at its relaxed geometry from Alexandria. Energies are from GGA-PBE.

- Total DFT energy (no corrections): -18.3 eV/cell
- Fermi-level density of states: 4.472 states/eV/cell

Unit cell a=7.6063 b=7.6063 c=7.6063 alpha=153.26 beta=153.26 gamma=38.17
Atoms (fractional coordinates):
Tb  0.0000  0.0000  0.0000
Th  0.3298  0.3298  0.0000
Sc  0.6732  0.6732  0.0000


Record 8
Here is crystalline Tb3ThSc4 at its relaxed geometry from Alexandria. Energies are from GGA-PBE.

- Total DFT energy (no corrections): -45.3 eV/cell
- Fermi-level density of states: 15.159 states/eV/cell

Unit cell a=8.4883 b=8.4883 c=3.3108 alpha=100.95 beta=100.95 gamma=94.86
Atoms (fractional coordinates):
Tb  0.0000  0.0000  0.0000
Tb  0.2442  0.7558  0.5000
Tb  0.7558  0.2442  0.5000
Th  0.5000  0.5000  0.0000
Sc  0.1154  0.3848  0.2512
Sc  0.3848  0.1154  0.2512
Sc  0.6152  0.8846  0.7488
Sc  0.8846  0.6152  0.7488


Record 9
Here is crystalline Tb8ThSc3 at its relaxed geometry from Alexandria. Energies are from GGA-PBE.

- Total DFT energy (no corrections): -62.9 eV/cell
- Fermi-level density of states: 20.532 states/eV/cell

Unit cell a=11.6326 b=11.6326 c=9.4760 alpha=107.13 beta=107.13 gamma=17.26
Atoms (fractional coordinates):
Tb  0.0000  0.0000  0.0000
Tb  0.0013  0.0013  0.6237
Tb  0.1288  0.1288  0.5423
Tb  0.3888  0.3888  0.7063
Tb  0.6183  0.6183  0.8633
Tb  0.6378  0.6378  0.2329
Tb  0.7650  0.7650  0.7787
Tb  0.8675  0.8675  0.3467
Th  0.2417  0.2417  0.0911
Sc  0.2561  0.2561  0.4534
Sc  0.3774  0.3774  0.0419
Sc  0.5002  0.5002  0.3177


Record 10
Here is crystalline Tb6ThSc at its relaxed geometry from Alexandria. Energies are from GGA-PBE.

- Total DFT energy (no corrections): -41.1 eV/cell
- Fermi-level density of states: 13.854 states/eV/cell

Unit cell a=5.0071 b=5.0071 c=9.9126 alpha=90.00 beta=90.00 gamma=90.00
Atoms (fractional coordinates):
Tb  0.0000  0.0000  0.0000
Tb  0.0000  0.0000  0.5000
Tb  0.0000  0.5000  0.2469
Tb  0.0000  0.5000  0.7531
Tb  0.5000  0.0000  0.2469
Tb  0.5000  0.0000  0.7531
Th  0.5000  0.5000  0.5000
Sc  0.5000  0.5000  0.0000


Record 11
Here is crystalline TbTh3Sc2 at its relaxed geometry from Alexandria. Energies are from GGA-PBE.

- Total DFT energy (no corrections): -39.3 eV/cell
- Fermi-level density of states: 7.527 states/eV/cell

Unit cell a=3.5170 b=3.5170 c=14.3339 alpha=90.00 beta=90.00 gamma=90.00
Atoms (fractional coordinates):
Tb  0.0000  0.0000  0.0000
Th  0.5000  0.5000  0.1772
Th  0.5000  0.5000  0.5000
Th  0.5000  0.5000  0.8228
Sc  0.0000  0.0000  0.3387
Sc  0.0000  0.0000  0.6613


Record 12
Here is crystalline Tb10ThSc4 at its relaxed geometry from Alexandria. Energies are from GGA-PBE.

- Total DFT energy (no corrections): -70.1 eV/cell
- Fermi-level density of states: 16.655 states/eV/cell

Unit cell a=8.9479 b=8.9479 c=8.9479 alpha=99.80 beta=99.80 gamma=131.26
Atoms (fractional coordinates):
Tb  0.0314  0.6695  0.1342
Tb  0.1028  0.9686  0.6381
Tb  0.2500  0.7500  0.5000
Tb  0.3305  0.4647  0.3619
Tb  0.4647  0.1028  0.1342
Tb  0.5353  0.8972  0.8658
Tb  0.6695  0.5353  0.6381
Tb  0.7500  0.2500  0.5000
Tb  0.8972  0.0314  0.3619
Tb  0.9686  0.3305  0.8658
Th  0.0000  0.0000  0.0000
Sc  0.2988  0.4305  0.7293
Sc  0.4305  0.7012  0.1317
Sc  0.5695  0.2988  0.8683
Sc  0.7012  0.5695  0.2707


Record 13
Here is crystalline Tb4Th3Sc at its relaxed geometry from Alexandria. Energies are from GGA-PBE.

- Total DFT energy (no corrections): -46.0 eV/cell
- Fermi-level density of states: 13.761 states/eV/cell

Unit cell a=8.2954 b=8.2954 c=5.9322 alpha=109.19 beta=109.19 gamma=41.08
Atoms (fractional coordinates):
Tb  0.1280  0.1280  0.1770
Tb  0.2492  0.2492  0.7931
Tb  0.7508  0.7508  0.2069
Tb  0.8720  0.8720  0.8230
Th  0.3840  0.3840  0.4050
Th  0.5000  0.5000  0.0000
Th  0.6160  0.6160  0.5950
Sc  0.0000  0.0000  0.5000


Record 14
Here is crystalline Tb5Th4Sc4 at its relaxed geometry from Alexandria. Energies are from GGA-PBE.

- Total DFT energy (no corrections): -77.5 eV/cell
- Fermi-level density of states: 20.107 states/eV/cell

Unit cell a=9.1736 b=9.1736 c=9.1736 alpha=94.19 beta=94.19 gamma=148.64
Atoms (fractional coordinates):
Tb  0.0000  0.0000  0.0000
Tb  0.3063  0.4592  0.7654
Tb  0.4592  0.6937  0.1529
Tb  0.5408  0.3063  0.8471
Tb  0.6937  0.5408  0.2346
Th  0.0758  0.6183  0.6941
Th  0.3817  0.0758  0.4575
Th  0.6183  0.9242  0.5425
Th  0.9242  0.3817  0.3059
Sc  0.1549  0.2340  0.3889
Sc  0.2340  0.8451  0.0790
Sc  0.7660  0.1549  0.9210
Sc  0.8451  0.7660  0.6111


Record 15
Here is crystalline Tb15ThSc4 at its relaxed geometry from Alexandria. Energies are from GGA-PBE.

- Total DFT energy (no corrections): -101.4 eV/cell
- Fermi-level density of states: 29.649 states/eV/cell

Unit cell a=4.9587 b=4.9587 c=24.6968 alpha=90.00 beta=90.00 gamma=90.00
Atoms (fractional coordinates):
Tb  0.0000  0.0000  0.0000
Tb  0.0000  0.0000  0.2045
Tb  0.0000  0.0000  0.4010
Tb  0.0000  0.0000  0.5990
Tb  0.0000  0.0000  0.7955
Tb  0.0000  0.5000  0.1026
Tb  0.0000  0.5000  0.3018
Tb  0.0000  0.5000  0.5000
Tb  0.0000  0.5000  0.6982
Tb  0.0000  0.5000  0.8974
Tb  0.5000  0.0000  0.1026
Tb  0.5000  0.0000  0.3018
Tb  0.5000  0.0000  0.5000
Tb  0.5000  0.0000  0.6982
Tb  0.5000  0.0000  0.8974
Th  0.5000  0.5000  0.0000
Sc  0.5000  0.5000  0.2028
Sc  0.5000  0.5000  0.4011
Sc  0.5000  0.5000  0.5989
Sc  0.5000  0.5000  0.7972


Record 16
Here is crystalline Tb9ThSc2 at its relaxed geometry from Alexandria. Energies are from GGA-PBE.

- Total DFT energy (no corrections): -61.2 eV/cell
- Fermi-level density of states: 20.298 states/eV/cell

Unit cell a=4.9734 b=4.9734 c=14.8837 alpha=90.00 beta=90.00 gamma=90.00
Atoms (fractional coordinates):
Tb  0.0000  0.0000  0.0000
Tb  0.0000  0.0000  0.3382
Tb  0.0000  0.0000  0.6618
Tb  0.0000  0.5000  0.1697
Tb  0.0000  0.5000  0.5000
Tb  0.0000  0.5000  0.8303
Tb  0.5000  0.0000  0.1697
Tb  0.5000  0.0000  0.5000
Tb  0.5000  0.0000  0.8303
Th  0.5000  0.5000  0.0000
Sc  0.5000  0.5000  0.3357
Sc  0.5000  0.5000  0.6643


Record 17
Here is crystalline Tb2ThSc5 at its relaxed geometry from Alexandria. Energies are from GGA-PBE.

- Total DFT energy (no corrections): -48.1 eV/cell
- Fermi-level density of states: 13.694 states/eV/cell

Unit cell a=8.0158 b=6.8273 c=6.4024 alpha=74.51 beta=55.16 gamma=50.33
Atoms (fractional coordinates):
Tb  0.2454  0.7546  0.2454
Tb  0.7546  0.2454  0.7546
Th  0.6689  0.6689  0.3311
Sc  0.1679  0.6612  0.8321
Sc  0.1722  0.1722  0.8278
Sc  0.2511  0.2511  0.2489
Sc  0.6612  0.1679  0.3388
Sc  0.7511  0.7511  0.7489


Record 18
Here is crystalline TbTh2Sc3 at its relaxed geometry from Alexandria. Energies are from GGA-PBE.

- Total DFT energy (no corrections): -38.3 eV/cell
- Fermi-level density of states: 6.119 states/eV/cell

Unit cell a=3.4860 b=3.4860 c=13.9779 alpha=90.00 beta=90.00 gamma=90.00
Atoms (fractional coordinates):
Tb  0.0000  0.0000  0.0000
Th  0.0000  0.0000  0.3334
Th  0.0000  0.0000  0.6666
Sc  0.5000  0.5000  0.1699
Sc  0.5000  0.5000  0.5000
Sc  0.5000  0.5000  0.8301


Record 19
Here is crystalline TbTh2Sc5 at its relaxed geometry from Alexandria. Energies are from GGA-PBE.

- Total DFT energy (no corrections): -48.0 eV/cell
- Fermi-level density of states: 12.392 states/eV/cell

Unit cell a=7.2156 b=7.2156 c=7.2156 alpha=137.71 beta=100.92 gamma=94.06
Atoms (fractional coordinates):
Tb  0.0000  0.0000  0.0000
Th  0.1876  0.6876  0.5000
Th  0.8124  0.3124  0.5000
Sc  0.1680  0.3299  0.8381
Sc  0.4917  0.3299  0.1619
Sc  0.5000  0.0000  0.5000
Sc  0.5083  0.6701  0.8381
Sc  0.8320  0.6701  0.1619


Record 20
Here is crystalline Tb3Th2Sc3 at its relaxed geometry from Alexandria. Energies are from GGA-PBE.

- Total DFT energy (no corrections): -46.5 eV/cell
- Fermi-level density of states: 14.652 states/eV/cell

Unit cell a=6.2176 b=6.2176 c=6.2176 alpha=96.30 beta=96.30 gamma=96.30
Atoms (fractional coordinates):
Tb  0.0000  0.2812  0.7188
Tb  0.2812  0.7188  0.0000
Tb  0.7188  0.0000  0.2812
Th  0.2670  0.2670  0.2670
Th  0.7330  0.7330  0.7330
Sc  0.2071  0.7929  0.5000
Sc  0.5000  0.2071  0.7929
Sc  0.7929  0.5000  0.2071